Y2NbHgN PBE optimized geometry; polymorph energy (0 for the lowest one) = 0.0 kJ/mol of atoms; E_tot = -7.046 eV per atom; formation energy (no corrections) = -3.61 eV per formula unit; crystal system = tetragonal
1.0
4.869 0.000 0.000
0.000 4.869 0.000
0.000 0.000 4.259
Y Nb Hg N
2 1 1 1
direct
0.000 0.500 0.000
0.500 0.000 0.000
0.000 0.000 0.500
0.500 0.500 0.500
0.000 0.000 0.000